No. 1
A plane-wave DFT calculation with PBE-GGA was carried out for an optimized crystal structure of AcTbNdZn.

## Properties
E_form: 0.16 eV per atom
Relative energy among the computed polymorphs: 1.14 eV per formula unit
Total magnetic moment: 0.0 μB per cell
Volume: 31.0 Å³ per atom
Space group: F-43m
Final energy: -3.537 eV per atom

Cell lengths 5.594, 5.594, 5.594 Å; angles 60.00, 60.00, 60.00 degrees
Atoms (fractional coordinates):
Nd: 0.500 0.500 0.500
Ac: 0.250 0.250 0.250
Tb: 0.000 0.000 0.000
Zn: 0.750 0.750 0.750

No. 2
A plane-wave DFT calculation with PBE-GGA was carried out for an optimized crystal structure of AcTbNdZn.

## Properties
E_form: -0.13 eV per atom
Relative energy among the computed polymorphs: 0.00 eV per formula unit
Total magnetic moment: 0.0 μB per cell
Volume: 31.2 Å³ per atom
Space group: P4mm
Final energy: -3.821 eV per atom

Cell lengths 3.723, 3.723, 9.011 Å; angles 90.00, 90.00, 90.00 degrees
Atoms (fractional coordinates):
Ac: 0.000 0.000 0.064
Tb: 0.500 0.500 0.764
Nd: 0.500 0.500 0.375
Zn: 0.000 0.000 0.582

No. 3
A plane-wave DFT calculation with PBE-GGA was carried out for an optimized crystal structure of AcNd2Tc.

## Properties
E_form: 0.05 eV per atom
Relative energy among the computed polymorphs: 0.00 eV per formula unit
Total magnetic moment: 0.0 μB per cell
Volume: 31.7 Å³ per atom
Space group: P2_1/m
Final energy: -5.948 eV per atom

Cell lengths 4.144, 6.702, 9.595 Å; angles 90.00, 90.00, 108.00 degrees
Atoms (fractional coordinates):
Ac: 0.425 0.850 0.250
Ac: 0.575 0.150 0.750
Nd: 0.150 0.300 0.427
Nd: 0.850 0.700 0.573
Nd: 0.850 0.700 0.927
Nd: 0.150 0.300 0.073
Tc: 0.758 0.515 0.250
Tc: 0.242 0.485 0.750

No. 4
A plane-wave DFT calculation with PBE-GGA was carried out for an optimized crystal structure of AcNd2Tc.

## Properties
E_form: 0.16 eV per atom
Relative energy among the computed polymorphs: 0.42 eV per formula unit
Total magnetic moment: 0.0 μB per cell
Volume: 31.2 Å³ per atom
Space group: P4/mmm
Final energy: -5.843 eV per atom

Cell lengths 3.606, 3.606, 9.588 Å; angles 90.00, 90.00, 90.00 degrees
Atoms (fractional coordinates):
Ac: 0.500 0.500 0.500
Nd: 0.000 0.000 0.823
Nd: 0.000 0.000 0.177
Tc: 0.500 0.500 0.000

No. 5
A plane-wave DFT calculation with PBE-GGA was carried out for an optimized crystal structure of AcNd2Tc.

## Properties
E_form: 0.37 eV per atom
Relative energy among the computed polymorphs: 1.27 eV per formula unit
Total magnetic moment: 0.0 μB per cell
Volume: 32.8 Å³ per atom
Space group: R-3m
Final energy: -5.630 eV per atom

Cell lengths 3.642, 3.642, 11.603 Å; angles 80.97, 80.97, 60.00 degrees
Atoms (fractional coordinates):
Ac: 0.000 0.000 0.000
Nd: 0.108 0.108 0.676
Nd: 0.892 0.892 0.324
Tc: 0.500 0.500 0.500

No. 6
A plane-wave DFT calculation with PBE-GGA was carried out for an optimized crystal structure of AcNdTc.

## Properties
E_form: 0.08 eV per atom
Total magnetic moment: 0.0 μB per cell
Volume: 32.0 Å³ per atom
Space group: Cmcm
Final energy: -6.332 eV per atom

Cell lengths 4.122, 4.615, 10.343 Å; angles 77.11, 90.00, 90.00 degrees
Atoms (fractional coordinates):
Nd: 0.250 0.076 0.849
Nd: 0.750 0.924 0.151
Tc: 0.250 0.469 0.062
Tc: 0.750 0.531 0.938
Ac: 0.750 0.691 0.619
Ac: 0.250 0.309 0.381

No. 7
A plane-wave DFT calculation with PBE-GGA was carried out for an optimized crystal structure of Ac2NdTc.

## Properties
E_form: 0.82 eV per atom
Total magnetic moment: 0.0 μB per cell
Volume: 33.8 Å³ per atom
Space group: R-3m
Final energy: -5.016 eV per atom

Cell lengths 3.675, 3.675, 11.766 Å; angles 81.02, 81.02, 60.00 degrees
Atoms (fractional coordinates):
Ac: 0.076 0.076 0.773
Ac: 0.924 0.924 0.227
Nd: 0.500 0.500 0.500
Tc: 0.000 0.000 0.000

No. 8
A plane-wave DFT calculation with PBE-GGA was carried out for an optimized crystal structure of Ac2NdTe.

## Properties
Relative energy among the computed polymorphs: 0.38 eV per formula unit
Total magnetic moment: 0.0 μB per cell
Volume: 35.0 Å³ per atom
Space group: P4/mmm
Final energy: -4.507 eV per atom
Formation energy (no corrections): -475 meV/atom

Cell lengths 4.786, 5.407, 5.407 Å; angles 90.00, 90.00, 90.00 degrees
Atoms (fractional coordinates):
Ac: 0.000 0.000 0.500
Ac: 0.000 0.500 0.000
Te: 0.500 0.000 0.000
Nd: 0.500 0.500 0.500

No. 9
A plane-wave DFT calculation with PBE-GGA was carried out for an optimized crystal structure of Ac2Nd3Te8.

## Properties
Total magnetic moment: 0.0 μB per cell
Volume: 42.4 Å³ per atom
Space group: C2/m
Final energy: -5.011 eV per atom
Formation energy (no corrections): -1345 meV/atom

Cell lengths 7.853, 9.208, 9.277 Å; angles 119.75, 106.39, 90.00 degrees
Atoms (fractional coordinates):
Ac: 0.336 0.258 0.515
Ac: 0.664 0.742 0.485
Nd: 0.500 0.000 0.000
Nd: 0.000 0.260 0.000
Nd: 0.000 0.740 0.000
Te: 0.937 0.625 0.249
Te: 0.063 0.375 0.751
Te: 0.916 0.116 0.231
Te: 0.084 0.884 0.769
Te: 0.590 0.642 0.765
Te: 0.590 0.123 0.765
Te: 0.410 0.877 0.235
Te: 0.410 0.358 0.235

No. 10
A plane-wave DFT calculation with PBE-GGA was carried out for an optimized crystal structure of Ac3NdTe6.

## Properties
Total magnetic moment: 0.0 μB per cell
Volume: 39.8 Å³ per atom
Space group: P2_1/m
Final energy: -5.094 eV per atom
Formation energy (no corrections): -1500 meV/atom

Cell lengths 4.676, 13.159, 13.625 Å; angles 108.34, 90.00, 90.00 degrees
Atoms (fractional coordinates):
Ac: 0.750 0.418 0.829
Ac: 0.250 0.582 0.171
Ac: 0.750 0.685 0.506
Ac: 0.250 0.315 0.494
Ac: 0.750 0.159 0.077
Ac: 0.250 0.841 0.923
Nd: 0.750 0.041 0.687
Nd: 0.250 0.959 0.313
Te: 0.750 0.484 0.618
Te: 0.250 0.516 0.382
Te: 0.750 0.916 0.108
Te: 0.250 0.084 0.892
Te: 0.750 0.404 0.069
Te: 0.250 0.596 0.931
Te: 0.750 0.762 0.289
Te: 0.250 0.238 0.711
Te: 0.750 0.104 0.463
Te: 0.250 0.896 0.537
Te: 0.750 0.820 0.751
Te: 0.250 0.180 0.249

No. 11
A plane-wave DFT calculation with PBE-GGA was carried out for an optimized crystal structure of AcNd3Te6.

## Properties
Total magnetic moment: 0.0 μB per cell
Volume: 36.8 Å³ per atom
Space group: P2_1/m
Final energy: -5.207 eV per atom
Formation energy (no corrections): -1481 meV/atom

Cell lengths 4.572, 12.863, 13.262 Å; angles 109.21, 90.00, 90.00 degrees
Atoms (fractional coordinates):
Ac: 0.750 0.048 0.696
Ac: 0.250 0.952 0.304
Nd: 0.750 0.440 0.834
Nd: 0.250 0.560 0.166
Nd: 0.750 0.680 0.501
Nd: 0.250 0.320 0.499
Nd: 0.750 0.156 0.084
Nd: 0.250 0.844 0.916
Te: 0.750 0.485 0.616
Te: 0.250 0.515 0.384
Te: 0.750 0.913 0.095
Te: 0.250 0.087 0.905
Te: 0.750 0.391 0.057
Te: 0.250 0.609 0.943
Te: 0.750 0.738 0.274
Te: 0.250 0.262 0.726
Te: 0.750 0.120 0.467
Te: 0.250 0.880 0.533
Te: 0.750 0.804 0.749
Te: 0.250 0.196 0.251

No. 12
A plane-wave DFT calculation with PBE-GGA was carried out for an optimized crystal structure of AcNd3Te4.

## Properties
Total magnetic moment: 0.0 μB per cell
Volume: 33.5 Å³ per atom
Space group: P6_3/mmc
Final energy: -5.303 eV per atom
Formation energy (no corrections): -1430 meV/atom

Cell lengths 4.488, 4.488, 30.732 Å; angles 90.00, 90.00, 120.00 degrees
Atoms (fractional coordinates):
Ac: 0.667 0.333 0.750
Ac: 0.333 0.667 0.250
Te: 0.667 0.333 0.940
Te: 0.333 0.667 0.060
Te: 0.333 0.667 0.440
Te: 0.667 0.333 0.560
Te: 0.000 0.000 0.819
Te: 0.000 0.000 0.181
Te: 0.000 0.000 0.319
Te: 0.000 0.000 0.681
Nd: 0.000 0.000 0.000
Nd: 0.000 0.000 0.500
Nd: 0.333 0.667 0.880
Nd: 0.667 0.333 0.120
Nd: 0.667 0.333 0.380
Nd: 0.333 0.667 0.620

No. 13
A plane-wave DFT calculation with PBE-GGA was carried out for an optimized crystal structure of Ac4NdTe5.

## Properties
Relative energy among the computed polymorphs: 0.00 eV per formula unit
Total magnetic moment: 0.0 μB per cell
Volume: 36.4 Å³ per atom
Space group: R-3m
Final energy: -5.167 eV per atom
Formation energy (no corrections): -1476 meV/atom

Cell lengths 4.701, 4.701, 19.201 Å; angles 82.97, 82.97, 60.00 degrees
Atoms (fractional coordinates):
Ac: 0.897 0.897 0.308
Ac: 0.299 0.299 0.102
Ac: 0.701 0.701 0.898
Ac: 0.103 0.103 0.692
Nd: 0.500 0.500 0.500
Te: 0.402 0.402 0.795
Te: 0.000 0.000 0.000
Te: 0.598 0.598 0.205
Te: 0.803 0.803 0.591
Te: 0.197 0.197 0.409

No. 14
A plane-wave DFT calculation with PBE-GGA was carried out for an optimized crystal structure of AcNdTe.

## Properties
Relative energy among the computed polymorphs: 0.00 eV per formula unit
Total magnetic moment: 0.0 μB per cell
Volume: 38.6 Å³ per atom
Space group: C2/m
Final energy: -4.827 eV per atom
Formation energy (no corrections): -821 meV/atom

Cell lengths 4.312, 10.333, 10.624 Å; angles 92.58, 101.71, 90.00 degrees
Atoms (fractional coordinates):
Ac: 0.922 0.602 0.844
Ac: 0.577 0.805 0.153
Ac: 0.423 0.195 0.847
Ac: 0.078 0.398 0.156
Nd: 0.743 0.293 0.486
Nd: 0.182 0.030 0.365
Nd: 0.257 0.707 0.514
Nd: 0.818 0.970 0.635
Te: 0.670 0.558 0.340
Te: 0.415 0.854 0.830
Te: 0.330 0.442 0.660
Te: 0.585 0.146 0.170

No. 15
A plane-wave DFT calculation with PBE-GGA was carried out for an optimized crystal structure of AcNd3Te3.

## Properties
Total magnetic moment: 0.0 μB per cell
Volume: 34.6 Å³ per atom
Space group: R-3
Final energy: -5.085 eV per atom
Formation energy (no corrections): -1109 meV/atom

Cell lengths 9.582, 9.582, 8.224 Å; angles 54.37, 54.37, 60.00 degrees
Atoms (fractional coordinates):
Ac: 0.313 0.313 0.062
Ac: 0.687 0.687 0.938
Nd: 0.336 0.848 0.735
Nd: 0.848 0.081 0.735
Nd: 0.081 0.336 0.735
Nd: 0.919 0.664 0.265
Nd: 0.152 0.919 0.265
Nd: 0.664 0.152 0.265
Te: 0.309 0.551 0.240
Te: 0.900 0.309 0.240
Te: 0.551 0.900 0.240
Te: 0.449 0.100 0.760
Te: 0.100 0.691 0.760
Te: 0.691 0.449 0.760

No. 16
A plane-wave DFT calculation with PBE-GGA was carried out for an optimized crystal structure of AcNd2Te3.

## Properties
Total magnetic moment: 0.0 μB per cell
Volume: 34.0 Å³ per atom
Space group: Immm
Final energy: -5.279 eV per atom
Formation energy (no corrections): -1434 meV/atom

Cell lengths 4.590, 6.486, 7.918 Å; angles 114.18, 106.85, 90.00 degrees
Atoms (fractional coordinates):
Ac: 0.500 0.500 0.500
Nd: 0.839 0.839 0.179
Nd: 0.161 0.161 0.821
Te: 0.825 0.325 0.149
Te: 0.175 0.675 0.851
Te: 0.500 0.000 0.500

No. 17
A plane-wave DFT calculation with PBE-GGA was carried out for an optimized crystal structure of Ac2NdTe3.

## Properties
Relative energy among the computed polymorphs: 0.04 eV per formula unit
Total magnetic moment: 0.0 μB per cell
Volume: 35.7 Å³ per atom
Space group: Immm
Final energy: -5.192 eV per atom
Formation energy (no corrections): -1457 meV/atom

Cell lengths 4.668, 6.593, 8.052 Å; angles 114.17, 106.85, 90.00 degrees
Atoms (fractional coordinates):
Ac: 0.831 0.831 0.161
Ac: 0.169 0.169 0.839
Nd: 0.500 0.500 0.500
Te: 0.841 0.341 0.182
Te: 0.159 0.659 0.818
Te: 0.500 0.000 0.500

No. 18
A plane-wave DFT calculation with PBE-GGA was carried out for an optimized crystal structure of AcNd4Te5.

## Properties
Relative energy among the computed polymorphs: 0.00 eV per formula unit
Total magnetic moment: 0.0 μB per cell
Volume: 33.2 Å³ per atom
Space group: C2/m
Final energy: -5.323 eV per atom
Formation energy (no corrections): -1434 meV/atom

Cell lengths 4.544, 7.882, 10.156 Å; angles 75.10, 77.07, 73.25 degrees
Atoms (fractional coordinates):
Ac: 0.000 0.000 0.000
Nd: 0.596 0.207 0.601
Nd: 0.201 0.390 0.209
Nd: 0.799 0.610 0.791
Nd: 0.404 0.793 0.399
Te: 0.202 0.906 0.690
Te: 0.798 0.094 0.310
Te: 0.392 0.318 0.898
Te: 0.000 0.500 0.500
Te: 0.608 0.682 0.102

No. 19
A plane-wave DFT calculation with PBE-GGA was carried out for an optimized crystal structure of AcNdTe.

## Properties
Relative energy among the computed polymorphs: 0.12 eV per formula unit
Total magnetic moment: 0.0 μB per cell
Volume: 35.9 Å³ per atom
Space group: I4mm
Final energy: -4.788 eV per atom
Formation energy (no corrections): -782 meV/atom

Cell lengths 4.086, 4.086, 7.070 Å; angles 106.80, 106.80, 90.00 degrees
Atoms (fractional coordinates):
Ac: 0.272 0.272 0.545
Te: 0.601 0.601 0.203
Nd: 0.976 0.976 0.953

No. 20
A plane-wave DFT calculation with PBE-GGA was carried out for an optimized crystal structure of Ac5NdTe8.

## Properties
Total magnetic moment: 0.0 μB per cell
Volume: 34.8 Å³ per atom
Space group: I-4
Final energy: -5.150 eV per atom
Formation energy (no corrections): -1547 meV/atom

Cell lengths 8.587, 8.587, 8.587 Å; angles 109.40, 109.60, 109.40 degrees
Atoms (fractional coordinates):
Ac: 0.003 0.379 0.125
Ac: 0.875 0.878 0.254
Ac: 0.746 0.621 0.624
Ac: 0.500 0.000 0.500
Ac: 0.376 0.122 0.997
Nd: 0.250 0.500 0.750
Te: 0.129 0.748 0.023
Te: 0.977 0.105 0.725
Te: 0.783 0.253 0.378
Te: 0.622 0.405 0.874
Te: 0.470 0.595 0.217
Te: 0.619 0.895 0.871
Te: 0.275 0.252 0.381
Te: 0.126 0.747 0.530

No. 21
A plane-wave DFT calculation with PBE-GGA was carried out for an optimized crystal structure of Ac2NdTe4.

## Properties
Relative energy among the computed polymorphs: 0.00 eV per formula unit
Total magnetic moment: 0.0 μB per cell
Volume: 38.7 Å³ per atom
Space group: C2/m
Final energy: -5.153 eV per atom
Formation energy (no corrections): -1503 meV/atom

Cell lengths 4.408, 8.032, 8.614 Å; angles 69.67, 75.18, 74.07 degrees
Atoms (fractional coordinates):
Ac: 0.360 0.574 0.705
Ac: 0.640 0.426 0.295
Nd: 0.000 0.000 0.000
Te: 0.060 0.257 0.624
Te: 0.940 0.743 0.376
Te: 0.331 0.252 0.087
Te: 0.669 0.748 0.913

No. 22
A plane-wave DFT calculation with PBE-GGA was carried out for an optimized crystal structure of Ac2NdTe3.

## Properties
Relative energy among the computed polymorphs: 0.00 eV per formula unit
Total magnetic moment: 0.0 μB per cell
Volume: 35.6 Å³ per atom
Space group: Fddd
Final energy: -5.199 eV per atom
Formation energy (no corrections): -1464 meV/atom

Cell lengths 8.100, 8.100, 14.553 Å; angles 100.90, 100.90, 108.68 degrees
Atoms (fractional coordinates):
Ac: 0.999 0.499 0.997
Ac: 0.418 0.418 0.837
Ac: 0.832 0.332 0.663
Ac: 0.251 0.251 0.503
Ac: 0.749 0.749 0.497
Ac: 0.668 0.168 0.337
Ac: 0.582 0.582 0.163
Ac: 0.501 0.001 0.003
Nd: 0.917 0.917 0.834
Nd: 0.333 0.833 0.666
Nd: 0.167 0.667 0.334
Nd: 0.083 0.083 0.166
Te: 0.165 0.675 0.829
Te: 0.664 0.154 0.829
Te: 0.085 0.075 0.671
Te: 0.586 0.596 0.671
Te: 0.012 0.512 0.500
Te: 0.488 0.988 0.500
Te: 0.404 0.414 0.329
Te: 0.925 0.915 0.329
Te: 0.846 0.336 0.171
Te: 0.325 0.835 0.171
Te: 0.238 0.238 0.000
Te: 0.762 0.762 0.000

No. 23
A plane-wave DFT calculation with PBE-GGA was carried out for an optimized crystal structure of AcNd3Te4.

## Properties
Total magnetic moment: 0.0 μB per cell
Volume: 33.5 Å³ per atom
Space group: Cmmm
Final energy: -5.304 eV per atom
Formation energy (no corrections): -1431 meV/atom

Cell lengths 4.504, 7.931, 7.931 Å; angles 108.84, 90.00, 90.00 degrees
Atoms (fractional coordinates):
Ac: 0.500 0.000 0.000
Nd: 0.000 0.000 0.500
Nd: 0.500 0.500 0.500
Nd: 0.000 0.500 0.000
Te: 0.000 0.260 0.260
Te: 0.500 0.745 0.255
Te: 0.000 0.740 0.740
Te: 0.500 0.255 0.745